Material: CrAgBr2
Method: DFT, PBE
State: optimized geometry

Results
Formation energy without anion corrections: -0.08 eV per atom
Crystal system: monoclinic

Lattice parameters (Å, degrees): 5.297 4.449 4.446 74.88 90.00 90.00
Last column: magnetic moment on the atom in μB.
Element x y z (fractional)
1 Cr 0.000 0.519 0.521  4.18
2 Br 0.000 0.908 0.909  0.00
3 Br 0.500 0.342 0.342  0.04
4 Ag 0.500 0.730 0.729  0.05